# 1
# Cs2KSnSb2, relaxed, DFT GGA-PBE
data_Cs2KSnSb2
_space_group_name_H-M_alt 'I b a m'
_space_group_IT_number 72
_space_group_name_Hall '-I 2 2c'
_cell_length_a 8.1944
_cell_length_b 17.3638
_cell_length_c 7.6891
_cell_angle_alpha 90.00
_cell_angle_beta 90.00
_cell_angle_gamma 90.00
loop_
_atom_site_label
_atom_site_fract_x
_atom_site_fract_y
_atom_site_fract_z
_atom_site_occupancy
Cs1 0.2404 0.1740 0.0000 1
K1 0.0000 0.5000 0.2500 1
Sn1 0.0000 0.0000 0.2500 1
Sb1 0.2024 0.0976 0.5000 1
# Size of the total moment   0.0 μB/cell
# Uncorrected formation energy   -0.40 eV/atom
# Electronic total energy   -2.906 eV per atom



# 2
# Na3Np3BeS8, relaxed, DFT GGA-PBE
data_Na3Np3BeS8
_space_group_name_H-M_alt 'R -3 m'
_space_group_IT_number 166
_space_group_name_Hall '-R 3 2"'
_cell_length_a 7.7569
_cell_length_b 7.7569
_cell_length_c 20.1335
_cell_angle_alpha 90.00
_cell_angle_beta 90.00
_cell_angle_gamma 120.00
loop_
_atom_site_label
_atom_site_fract_x
_atom_site_fract_y
_atom_site_fract_z
_atom_site_occupancy
Na1 0.0000 0.5000 0.0000 1
Np1 0.0000 0.5000 0.5000 1
Be1 0.0000 0.0000 0.5000 1
S1 0.0000 0.0000 0.2432 1
S2 0.0248 0.5124 0.2349 1
# Size of the total moment   30.0 μB/cell
# Uncorrected formation energy   -1.15 eV/atom
# Electronic total energy   -6.453 eV per atom



# 3
# TlAgS, relaxed, DFT GGA-PBE
data_TlAgS
_space_group_name_H-M_alt 'P n m a'
_space_group_IT_number 62
_cell_length_a 6.1882
_cell_length_b 3.9822
_cell_length_c 12.3428
_cell_angle_alpha 90.00
_cell_angle_beta 90.00
_cell_angle_gamma 90.00
loop_
_space_group_symop_operation_xyz
'x,y,z'
'-x,-y,-z'
'-x+1/2,-y,z+1/2'
'x+1/2,y,-z+1/2'
'x+1/2,-y+1/2,-z+1/2'
'-x+1/2,y+1/2,z+1/2'
'-x,y+1/2,-z'
'x,-y+1/2,z'
loop_
_atom_site_label
_atom_site_fract_x
_atom_site_fract_y
_atom_site_fract_z
_atom_site_occupancy
Tl1 0.0487 0.2500 0.1510 1
Ag1 0.1144 0.2500 0.4364 1
S1 0.1032 0.2500 0.6496 1
# Size of the total moment   0.0 μB/cell
# Uncorrected formation energy   -0.12 eV/atom
# Electronic total energy   -3.231 eV per atom



# 4
# Co3PbBr, relaxed, DFT GGA-PBE
data_Co3PbBr
_space_group_name_H-M_alt 'P m -3 m'
_space_group_IT_number 221
_space_group_name_Hall '-P 4 2 3'
_cell_length_a 5.0366
_cell_length_b 5.0366
_cell_length_c 5.0366
_cell_angle_alpha 90.00
_cell_angle_beta 90.00
_cell_angle_gamma 90.00
loop_
_atom_site_label
_atom_site_fract_x
_atom_site_fract_y
_atom_site_fract_z
_atom_site_occupancy
Co1 0.0000 0.0000 0.5000 1
Pb1 0.0000 0.0000 0.0000 1
Br1 0.5000 0.5000 0.5000 1
# Size of the total moment   6.7 μB/cell
# Energy above the lowest structure with this stoichiometry   529 meV per atom
# Uncorrected formation energy   1.53 eV/atom
# Electronic total energy   -3.805 eV per atom



# 5
# NdSmGeRh, relaxed, DFT GGA-PBE
data_NdSmGeRh
_space_group_name_H-M_alt 'A m m 2'
_space_group_IT_number 38
_cell_length_a 4.2196
_cell_length_b 4.2277
_cell_length_c 10.7646
_cell_angle_alpha 90.00
_cell_angle_beta 90.00
_cell_angle_gamma 90.00
loop_
_space_group_symop_operation_xyz
'x,y,z'
'-x,-y,z'
'-x,y,z'
'x,-y,z'
'x,y+1/2,z+1/2'
'-x,-y+1/2,z+1/2'
'-x,y+1/2,z+1/2'
'x,-y+1/2,z+1/2'
loop_
_atom_site_label
_atom_site_fract_x
_atom_site_fract_y
_atom_site_fract_z
_atom_site_occupancy
Nd1 0.0000 0.0000 0.0000 1
Sm1 0.5000 0.0000 0.2804 1
Ge1 0.5000 0.0000 0.5721 1
Rh1 0.0000 0.0000 0.7217 1
# Size of the total moment   0.0 μB/cell
# Energy relative to the elements   -0.795 eV/atom
# Energy above the lowest structure with this stoichiometry   0 meV per atom
# Electronic total energy   -6.159 eV per atom



# 6
# Er5CdTe4, relaxed, DFT GGA-PBE
data_Er5CdTe4
_space_group_name_H-M_alt 'I 4/m'
_space_group_IT_number 87
_space_group_name_Hall '-I 4'
_cell_length_a 9.6794
_cell_length_b 9.6794
_cell_length_c 6.1152
_cell_angle_alpha 90.00
_cell_angle_beta 90.00
_cell_angle_gamma 90.00
loop_
_atom_site_label
_atom_site_fract_x
_atom_site_fract_y
_atom_site_fract_z
_atom_site_occupancy
Er1 0.0000 0.0000 0.0000 1
Er2 0.0991 0.2883 0.5000 1
Cd1 0.0000 0.0000 0.5000 1
Te1 0.0939 0.3048 0.0000 1
# Size of the total moment   0.0 μB/cell
# Uncorrected formation energy   -1.03 eV/atom
# Electronic total energy   -4.664 eV per atom



# 7
# TbSm2Dy3, relaxed, DFT GGA-PBE
data_TbSm2Dy3
_space_group_name_H-M_alt 'C 1 2/m 1'
_space_group_IT_number 12
_cell_length_a 17.0948
_cell_length_b 5.6108
_cell_length_c 9.9274
_cell_angle_alpha 90.00
_cell_angle_beta 125.12
_cell_angle_gamma 90.00
loop_
_space_group_symop_operation_xyz
'x,y,z'
'-x,-y,-z'
'-x,y,-z'
'x,-y,z'
'x+1/2,y+1/2,z'
'-x+1/2,-y+1/2,-z'
'-x+1/2,y+1/2,-z'
'x+1/2,-y+1/2,z'
loop_
_atom_site_label
_atom_site_fract_x
_atom_site_fract_y
_atom_site_fract_z
_atom_site_occupancy
Tb1 0.1310 0.0000 0.1296 1
Sm1 0.0080 0.5000 0.8569 1
Sm2 0.2326 0.0000 0.8770 1
Dy1 0.0444 0.0000 0.3859 1
Dy2 0.1143 0.5000 0.6572 1
Dy3 0.2108 0.5000 0.4269 1
# Size of the total moment   0.0 μB/cell
# Energy relative to the elements   0.101 eV/atom
# Energy above the lowest structure with this stoichiometry   0 meV per atom
# Electronic total energy   -4.545 eV per atom



# 8
# Nd3UTl4Se8, relaxed, DFT GGA-PBE
data_Nd3UTl4Se8
_space_group_name_H-M_alt 'R -3 m'
_space_group_IT_number 166
_space_group_name_Hall '-R 3 2"'
_cell_length_a 8.5922
_cell_length_b 8.5922
_cell_length_c 23.3004
_cell_angle_alpha 90.00
_cell_angle_beta 90.00
_cell_angle_gamma 120.00
loop_
_atom_site_label
_atom_site_fract_x
_atom_site_fract_y
_atom_site_fract_z
_atom_site_occupancy
Nd1 0.0000 0.5000 0.0000 1
U1 0.0000 0.0000 0.0000 1
Tl1 0.0000 0.0000 0.5000 1
Tl2 0.0000 0.5000 0.5000 1
Se1 0.0000 0.0000 0.2628 1
Se2 0.0071 0.5036 0.7363 1
# Size of the total moment   9.0 μB/cell
# Uncorrected formation energy   -1.24 eV/atom
# Electronic total energy   -5.177 eV per atom